[1]
# Sc4AlTc2 | Alexandria | PBE-GGA | optimized geometry
data_Sc4AlTc2
_chemical_formula_sum 'Sc8 Al2 Tc4'
_symmetry_space_group_name_H-M 'I 4/m m m'
_symmetry_Int_Tables_number 139
_symmetry_space_group_name_Hall '-I 4 2'
_cell_length_a 5.1195
_cell_length_b 5.1195
_cell_length_c 12.4303
_cell_angle_alpha 90.00
_cell_angle_beta 90.00
_cell_angle_gamma 90.00
loop_
_atom_site_label
_atom_site_fract_x
_atom_site_fract_y
_atom_site_fract_z
_atom_site_occupancy
Sc1 0.0000 0.0000 0.2134 1
Sc2 0.0000 0.5000 0.0000 1
Al1 0.0000 0.0000 0.0000 1
Tc1 0.0000 0.0000 0.4023 1
# - volume (Å³ per cell) = 325.8
# - DOS at the Fermi energy (states/eV/cell) = 12.16
# - magnetic moment (μB/f.u.) = 0.00
# - crystal system = tetragonal
# - formation energy from the elements (meV per atom) = 538
# - energy above the lowest structure with this stoichiometry (meV per atom) = 666.1


[2]
# Sc2AlTc | Alexandria | PBE-GGA | optimized geometry
data_Sc2AlTc
_chemical_formula_sum 'Sc2 Al1 Tc1'
_symmetry_space_group_name_H-M 'P 4/m m m'
_symmetry_Int_Tables_number 123
_symmetry_space_group_name_Hall '-P 4 2'
_cell_length_a 3.3688
_cell_length_b 3.3688
_cell_length_c 6.4718
_cell_angle_alpha 90.00
_cell_angle_beta 90.00
_cell_angle_gamma 90.00
loop_
_atom_site_label
_atom_site_fract_x
_atom_site_fract_y
_atom_site_fract_z
_atom_site_occupancy
Sc1 0.0000 0.0000 0.2278 1
Al1 0.5000 0.5000 0.5000 1
Tc1 0.5000 0.5000 0.0000 1
# - volume (Å³ per cell) = 73.4
# - DOS at the Fermi energy (states/eV/cell) = 3.37
# - magnetic moment (μB/f.u.) = 0.00
# - crystal system = tetragonal
# - formation energy from the elements (meV per atom) = -378
# - energy above the lowest structure with this stoichiometry (meV per atom) = 0.0


[3]
# ScAlTc | Alexandria | PBE-GGA | optimized geometry
data_ScAlTc
_chemical_formula_sum 'Sc4 Al4 Tc4'
_symmetry_space_group_name_H-M 'F -4 3 m'
_symmetry_Int_Tables_number 216
_symmetry_space_group_name_Hall 'F -4 2 3'
_cell_length_a 6.1675
_cell_length_b 6.1675
_cell_length_c 6.1675
_cell_angle_alpha 90.00
_cell_angle_beta 90.00
_cell_angle_gamma 90.00
loop_
_atom_site_label
_atom_site_fract_x
_atom_site_fract_y
_atom_site_fract_z
_atom_site_occupancy
Sc1 0.0000 0.0000 0.0000 1
Al1 0.0000 0.0000 0.5000 1
Tc1 0.2500 0.2500 0.2500 1
# - volume (Å³ per cell) = 234.6
# - DOS at the Fermi energy (states/eV/cell) = 16.98
# - magnetic moment (μB/f.u.) = 0.00
# - crystal system = cubic
# - formation energy from the elements (meV per atom) = 101
# - energy above the lowest structure with this stoichiometry (meV per atom) = 595.3


Among the records above, which one has the lowest energy above the lowest structure with this stoichiometry? Sc2AlTc